KVCu2O4: relaxed, PBE+U.

Summary:
As for the calculated total energy: -46.8 eV/cell. As for the space group: I-42m. For the volume, the calculation gives 105.5 Å³ per cell.

Cell lengths 5.3666, 5.3666, 5.2744 Å; angles 120.59, 120.59, 89.99 degrees
Element x y z (fractional)
K1 0.0000 0.0000 0.0000
V1 0.5000 0.5000 0.0000
Cu1 0.7501 0.2501 0.5002
Cu2 0.2501 0.7501 0.5002
O1 0.5363 0.5363 0.7019
O2 0.4637 0.8344 0.2981
O3 0.8344 0.4637 0.2981
O4 0.1655 0.1655 0.7019